Here is a crystal of KGaNi2W relaxed with PBEsol from Alexandria via LeMat-Bulk. Energies are from SCAN.

Computed properties:
Symmetry = P4/mmm, No. 123
Magnetic moment = 4.10 μB/f.u.
DFT formation energy = 133 kJ per mole of atoms

Cell lengths 4.528, 4.528, 4.830 Å; angles 90.00, 90.00, 90.00 degrees
Each line ends with the local moment (μB).
Atoms (fractional coordinates):
Ga  0.000  0.000  0.000  -0.02
W  0.000  0.000  0.500  2.17
Ni  0.000  0.500  0.000  0.63
K  0.500  0.500  0.500  0.04
Ni  0.500  0.000  0.000  0.63

***

Here is a crystal of Cd2InPb relaxed with PBEsol from Alexandria via LeMat-Bulk. Energies are from SCAN.

Computed properties:
Symmetry = Pmm2, No. 25
Energy relative to the lowest polymorph listed for this composition = 12 meV/atom
Magnetic moment = 0.00 μB/f.u.
DFT formation energy = 7 kJ per mole of atoms

Cell lengths 3.290, 4.445, 6.683 Å; angles 90.00, 90.00, 90.00 degrees
Atoms (fractional coordinates):
Cd  0.000  0.000  0.022
Pb  0.500  0.500  0.755
In  0.000  0.000  0.482
Cd  0.500  0.500  0.241

***

Here is a crystal of K2MgCdS relaxed with PBEsol from Alexandria via LeMat-Bulk. Energies are from SCAN.

Computed properties:
Symmetry = P4/mmm, No. 123
Raw total energy = -12.58 eV per atom
Magnetic moment = 0.30 μB/f.u.

Cell lengths 5.199, 6.003, 6.003 Å; angles 90.00, 90.00, 90.00 degrees
Atoms (fractional coordinates):
Mg  0.500  0.500  0.500
K  0.000  0.500  0.000
S  0.000  0.000  0.000
Cd  0.500  0.000  0.000
K  0.000  0.000  0.500

***

Here is a crystal of Bi3ClO4 relaxed with PBEsol from Alexandria via LeMat-Bulk. Energies are from SCAN.

Computed properties:
Symmetry = P4/mmm, No. 123
Raw total energy = -34.77 eV per atom
Magnetic moment = 0.00 μB/f.u.

Cell lengths 3.911, 3.911, 8.953 Å; angles 90.00, 90.00, 90.00 degrees
Atoms (fractional coordinates):
Cl  0.500  0.500  0.500
O  0.500  0.000  0.835
Bi  0.000  0.000  0.712
O  0.000  0.500  0.835
Bi  0.500  0.500  0.000
O  0.500  0.000  0.165
O  0.000  0.500  0.165
Bi  0.000  0.000  0.288

***

Here is a crystal of MgReGePb2 relaxed with PBEsol from Alexandria via LeMat-Bulk. Energies are from SCAN.

Computed properties:
Symmetry = P4/mmm, No. 123
Magnetic moment = 1.79 μB/f.u.
DFT formation energy = 104 kJ per mole of atoms

Cell lengths 4.680, 5.439, 5.439 Å; angles 90.00, 90.00, 90.00 degrees
Each line ends with the local moment (μB).
Atoms (fractional coordinates):
Pb  0.000  0.500  0.000  -0.03
Pb  0.000  0.000  0.500  -0.03
Ge  0.000  0.000  0.000  -0.02
Re  0.500  0.000  0.000  1.50
Mg  0.500  0.500  0.500  -0.01

***

Here is a crystal of TiBi2PtCl relaxed with PBEsol from Alexandria via LeMat-Bulk. Energies are from SCAN.

Computed properties:
Symmetry = P4/mmm, No. 123
Raw total energy = -49.36 eV per atom
Magnetic moment = 1.57 μB/f.u.

Cell lengths 4.491, 5.314, 5.314 Å; angles 90.00, 90.00, 90.00 degrees
Each line ends with the local moment (μB).
Atoms (fractional coordinates):
Pt  0.500  0.000  0.000  -0.04
Bi  0.000  0.000  0.500  -0.10
Ti  0.500  0.500  0.500  1.59
Cl  0.000  0.000  0.000  -0.01
Bi  0.000  0.500  0.000  -0.10

***

Here is a crystal of NaReBi3 relaxed with PBEsol from Alexandria via LeMat-Bulk. Energies are from SCAN.

Computed properties:
Symmetry = Pm-3m, No. 221
Magnetic moment = 1.03 μB/f.u.
DFT formation energy = 60 kJ per mole of atoms

Cell lengths 5.374, 5.374, 5.374 Å; angles 90.00, 90.00, 90.00 degrees
Each line ends with the local moment (μB).
Atoms (fractional coordinates):
Bi  0.000  0.000  0.500  0.00
Bi  0.500  0.000  0.000  0.00
Re  0.000  0.000  0.000  0.69
Bi  0.000  0.500  0.000  0.00
Na  0.500  0.500  0.500  0.01

***

Here is a crystal of Tl2IrSe relaxed with PBEsol from Alexandria via LeMat-Bulk. Energies are from SCAN.

Computed properties:
Symmetry = Fm-3m, No. 225
Energy relative to the lowest polymorph listed for this composition = 141 meV/atom
Magnetic moment = 0.00 μB/f.u.

Cell lengths 4.882, 4.882, 4.882 Å; angles 60.00, 60.00, 60.00 degrees
Atoms (fractional coordinates):
Ir  0.000  0.000  0.000
Tl  0.250  0.250  0.250
Tl  0.750  0.750  0.750
Se  0.500  0.500  0.500

***

Here is a crystal of Ga2BiS4 relaxed with PBEsol from Alexandria via LeMat-Bulk. Energies are from SCAN.

Computed properties:
Symmetry = P4/nnc, No. 126
Raw total energy = -22.04 eV per atom
Magnetic moment = 0.00 μB/f.u.

Cell lengths 7.443, 7.443, 12.011 Å; angles 90.00, 90.00, 90.00 degrees
Atoms (fractional coordinates):
S  0.832  0.660  0.125
Ga  0.500  0.000  0.500
S  0.668  0.840  0.375
S  0.160  0.668  0.375
Ga  0.500  0.000  0.250
S  0.840  0.332  0.375
Bi  0.500  0.500  0.631
Ga  0.000  0.500  0.000
Ga  0.000  0.500  0.500
S  0.340  0.832  0.125
S  0.660  0.832  0.875
S  0.832  0.340  0.875
S  0.840  0.668  0.625
Bi  0.500  0.500  0.369
S  0.160  0.332  0.625
S  0.340  0.168  0.875
Ga  0.000  0.500  0.250
S  0.168  0.340  0.125
S  0.332  0.160  0.375
Ga  0.500  0.000  0.000
Bi  0.000  0.000  0.131
S  0.168  0.660  0.875
S  0.668  0.160  0.625
Ga  0.000  0.500  0.750
Bi  0.000  0.000  0.869
S  0.332  0.840  0.625
Ga  0.500  0.000  0.750
S  0.660  0.168  0.125

***

Here is a crystal of TeP2IrPt relaxed with PBEsol from Alexandria via LeMat-Bulk. Energies are from SCAN.

Computed properties:
Symmetry = P4/mmm, No. 123
Raw total energy = -37.81 eV per atom
Magnetic moment = 0.00 μB/f.u.

Cell lengths 4.782, 4.855, 4.855 Å; angles 90.00, 90.00, 90.00 degrees
Atoms (fractional coordinates):
P  0.000  0.000  0.500
Ir  0.500  0.000  0.000
P  0.000  0.500  0.000
Te  0.000  0.000  0.000
Pt  0.500  0.500  0.500

***

Here is a crystal of BeBiCl3 relaxed with PBEsol from Alexandria via LeMat-Bulk. Energies are from SCAN.

Computed properties:
Symmetry = Pm-3m, No. 221
Raw total energy = -21.35 eV per atom
Magnetic moment = 0.12 μB/f.u.

Cell lengths 5.376, 5.376, 5.376 Å; angles 90.00, 90.00, 90.00 degrees
Atoms (fractional coordinates):
Cl  0.000  0.000  0.500
Be  0.500  0.500  0.500
Cl  0.000  0.500  0.000
Cl  0.500  0.000  0.000
Bi  0.000  0.000  0.000

***

Here is a crystal of Mg2MoPb relaxed with PBEsol from Alexandria via LeMat-Bulk. Energies are from SCAN.

Computed properties:
Symmetry = Cmmm, No. 65
Magnetic moment = 0.00 μB/f.u.
DFT formation energy = 33 kJ per mole of atoms

Cell lengths 2.995, 5.395, 5.395 Å; angles 115.20, 90.00, 90.00 degrees
Atoms (fractional coordinates):
Mo  0.500  0.000  0.000
Mg  0.000  0.000  0.500
Pb  0.500  0.500  0.500
Mg  0.000  0.500  0.000

***

Here is a crystal of CsCuMo2 relaxed with PBEsol from Alexandria via LeMat-Bulk. Energies are from SCAN.

Computed properties:
Symmetry = Fm-3m, No. 225
Magnetic moment = 0.00 μB/f.u.
DFT formation energy = 203 kJ per mole of atoms

Cell lengths 4.546, 4.546, 4.546 Å; angles 60.00, 60.00, 60.00 degrees
Atoms (fractional coordinates):
Cu  0.000  0.000  0.000
Cs  0.500  0.500  0.500
Mo  0.750  0.750  0.750
Mo  0.250  0.250  0.250

***

Here is a crystal of Tm2B6Rh9 relaxed with PBEsol from Alexandria via LeMat-Bulk. Energies are from SCAN.

Computed properties:
Symmetry = P6/mmm, No. 191
Magnetic moment = 0.00 μB/f.u.
DFT formation energy = -72 kJ per mole of atoms

Cell lengths 5.511, 5.511, 8.477 Å; angles 90.00, 90.00, 120.00 degrees
Atoms (fractional coordinates):
Rh  0.500  0.500  0.835
Rh  0.500  0.000  0.165
Rh  0.000  0.500  0.835
Tm  0.000  0.000  0.704
B  0.667  0.333  0.332
Rh  0.500  0.000  0.500
B  0.667  0.333  0.000
B  0.333  0.667  0.000
Tm  0.000  0.000  0.296
B  0.333  0.667  0.668
Rh  0.000  0.500  0.500
Rh  0.500  0.000  0.835
Rh  0.500  0.500  0.500
Rh  0.000  0.500  0.165
B  0.667  0.333  0.668
Rh  0.500  0.500  0.165
B  0.333  0.667  0.332

***

Here is a crystal of AlTe2AuN relaxed with PBEsol from Alexandria via LeMat-Bulk. Energies are from SCAN.

Computed properties:
Symmetry = P4/mmm, No. 123
Raw total energy = -31.80 eV per atom
Magnetic moment = 0.00 μB/f.u.

Cell lengths 3.404, 5.508, 5.508 Å; angles 90.00, 90.00, 90.00 degrees
Atoms (fractional coordinates):
N  0.500  0.000  0.000
Te  0.000  0.500  0.000
Te  0.000  0.000  0.500
Al  0.000  0.000  0.000
Au  0.500  0.500  0.500

***

Here is a crystal of Fe2MoIr relaxed with PBEsol from Alexandria via LeMat-Bulk. Energies are from SCAN.

Computed properties:
Symmetry = P4/mmm, No. 123
Magnetic moment = 5.09 μB/f.u.
DFT formation energy = 11 kJ per mole of atoms

Cell lengths 2.612, 2.612, 7.235 Å; angles 90.00, 90.00, 90.00 degrees
Each line ends with the local moment (μB).
Atoms (fractional coordinates):
Ir  0.500  0.500  0.000  0.23
Fe  0.000  0.000  0.758  2.56
Mo  0.500  0.500  0.500  -0.24
Fe  0.000  0.000  0.242  2.56

***

Here is a crystal of Hg3Pb2 relaxed with PBEsol from Alexandria via LeMat-Bulk. Energies are from SCAN.

Computed properties:
Symmetry = R-3m, No. 166
Magnetic moment = 0.00 μB/f.u.
DFT formation energy = 4 kJ per mole of atoms

Cell lengths 3.475, 3.475, 12.546 Å; angles 82.04, 82.04, 60.00 degrees
Atoms (fractional coordinates):
Hg  0.803  0.803  0.591
Pb  0.598  0.598  0.205
Pb  0.402  0.402  0.795
Hg  0.197  0.197  0.409
Hg  0.000  0.000  0.000

***

Here is a crystal of CeRh2O5 relaxed with PBEsol from Alexandria via LeMat-Bulk. Energies are from SCAN.

Computed properties:
Symmetry = Pnma, No. 62
Raw total energy = -19.94 eV per atom
Magnetic moment = 0.00 μB/f.u.

Cell lengths 5.115, 7.160, 9.729 Å; angles 90.00, 90.00, 90.00 degrees
Atoms (fractional coordinates):
Rh  0.250  0.916  0.559
O  0.932  0.335  0.055
Ce  0.199  0.265  0.250
Rh  0.750  0.584  0.441
O  0.068  0.665  0.945
O  0.093  0.983  0.378
O  0.593  0.517  0.878
O  0.419  0.879  0.750
O  0.581  0.121  0.250
O  0.407  0.483  0.122
O  0.568  0.835  0.445
Ce  0.699  0.235  0.750
Rh  0.750  0.084  0.441
O  0.907  0.017  0.622
Ce  0.301  0.765  0.250
Ce  0.801  0.735  0.750
Rh  0.250  0.416  0.941
O  0.432  0.165  0.945
O  0.093  0.983  0.122
O  0.432  0.165  0.555
O  0.068  0.665  0.555
Rh  0.250  0.916  0.941
O  0.932  0.335  0.445
O  0.593  0.517  0.622
Rh  0.250  0.416  0.559
O  0.907  0.017  0.878
O  0.919  0.621  0.250
Rh  0.750  0.084  0.059
O  0.568  0.835  0.055
O  0.081  0.379  0.750
Rh  0.750  0.584  0.059
O  0.407  0.483  0.378

***

Here is a crystal of Rb2Sb2Cl relaxed with PBEsol from Alexandria via LeMat-Bulk. Energies are from SCAN.

Computed properties:
Symmetry = I4/mmm, No. 139
Raw total energy = -25.81 eV per atom
Magnetic moment = 0.00 μB/f.u.

Cell lengths 4.222, 4.222, 10.297 Å; angles 101.83, 101.83, 90.00 degrees
Atoms (fractional coordinates):
Sb  0.750  0.250  0.500
Sb  0.250  0.750  0.500
Cl  0.000  0.000  0.000
Rb  0.408  0.408  0.816
Rb  0.592  0.592  0.184

***

Here is a crystal of Li2AlB5O10 relaxed with PBEsol from Alexandria via LeMat-Bulk. Energies are from SCAN.

Computed properties:
Symmetry = P2_1/c, No. 14
Raw total energy = -8.95 eV per atom
Magnetic moment = 0.00 μB/f.u.

Cell lengths 7.066, 7.070, 14.949 Å; angles 90.00, 90.00, 91.00 degrees
Atoms (fractional coordinates):
O  0.271  0.013  0.725
O  0.162  0.592  0.552
O  0.281  0.360  0.449
O  0.831  0.007  0.809
B  0.200  0.903  0.971
O  0.682  0.303  0.581
O  0.719  0.140  0.949
O  0.761  0.580  0.031
B  0.787  0.480  0.779
B  0.800  0.097  0.029
B  0.241  0.238  0.000
O  0.271  0.513  0.775
O  0.729  0.987  0.275
B  0.321  0.008  0.120
O  0.281  0.860  0.051
O  0.838  0.408  0.448
B  0.547  0.501  0.254
Al  0.853  0.462  0.124
B  0.200  0.403  0.529
B  0.800  0.597  0.471
O  0.239  0.920  0.531
Li  0.303  0.588  0.071
B  0.453  0.499  0.746
B  0.759  0.762  0.000
B  0.679  0.492  0.620
O  0.505  0.476  0.341
O  0.495  0.024  0.841
O  0.162  0.092  0.948
O  0.495  0.524  0.659
B  0.787  0.980  0.721
B  0.547  0.001  0.246
Li  0.697  0.412  0.929
Li  0.697  0.912  0.571
O  0.917  0.468  0.846
B  0.759  0.262  0.500
O  0.719  0.640  0.551
Li  0.100  0.999  0.828
O  0.083  0.032  0.346
O  0.169  0.993  0.191
O  0.239  0.420  0.969
B  0.213  0.020  0.279
Al  0.853  0.962  0.376
O  0.838  0.908  0.052
Li  0.900  0.501  0.328
B  0.679  0.992  0.880
O  0.917  0.968  0.654
B  0.453  0.999  0.754
O  0.852  0.724  0.408
O  0.318  0.697  0.419
Al  0.147  0.538  0.876
O  0.598  0.960  0.693
O  0.148  0.776  0.908
O  0.852  0.224  0.092
O  0.505  0.976  0.159
O  0.729  0.487  0.225
O  0.682  0.803  0.919
O  0.318  0.197  0.081
B  0.241  0.738  0.500
O  0.761  0.080  0.469
O  0.083  0.532  0.154
O  0.831  0.507  0.691
B  0.213  0.520  0.221
O  0.169  0.493  0.309
O  0.598  0.460  0.807
O  0.402  0.040  0.307
Li  0.303  0.088  0.429
B  0.321  0.508  0.380
O  0.402  0.540  0.193
Li  0.900  0.001  0.172
O  0.148  0.276  0.592
Li  0.100  0.499  0.672
Al  0.147  0.038  0.624

***

Here is a crystal of SiTe2Cl relaxed with PBEsol from Alexandria via LeMat-Bulk. Energies are from SCAN.

Computed properties:
Symmetry = P4/mmm, No. 123
Energy relative to the lowest polymorph listed for this composition = 516 meV/atom
Magnetic moment = 0.00 μB/f.u.

Cell lengths 3.805, 4.837, 4.837 Å; angles 90.00, 90.00, 90.00 degrees
Atoms (fractional coordinates):
Si  0.500  0.000  0.000
Te  0.000  0.500  0.000
Te  0.000  0.000  0.500
Cl  0.500  0.500  0.500

***

Here is a crystal of Cr2Pt2Br relaxed with PBEsol from Alexandria via LeMat-Bulk. Energies are from SCAN.

Computed properties:
Symmetry = I4/mmm, No. 139
Raw total energy = -39.09 eV per atom
Magnetic moment = 7.80 μB/f.u.

Cell lengths 3.685, 3.685, 6.419 Å; angles 106.68, 106.68, 90.00 degrees
Each line ends with the local moment (μB).
Atoms (fractional coordinates):
Pt  0.750  0.250  0.500  0.04
Br  0.000  0.000  0.000  0.09
Cr  0.402  0.402  0.804  3.54
Cr  0.598  0.598  0.196  3.54
Pt  0.250  0.750  0.500  0.04